1.
Computed, not measured: a relaxed YZr3Ir3 crystal at the PBE level of DFT.

Structure (POSCAR):
```
YZr3Ir3
1.0
8.2812 0.0000 0.0000
0.0000 8.2812 0.0000
0.0000 0.0000 8.2812
Y Zr Ir
4 12 12
direct
0.0437 0.4563 0.5437
0.4563 0.5437 0.0437
0.5437 0.0437 0.4563
0.9563 0.9563 0.9563
0.1060 0.6060 0.8940
0.1782 0.1782 0.1782
0.2132 0.7868 0.2868
0.2868 0.2132 0.7868
0.3218 0.8218 0.6782
0.3940 0.3940 0.3940
0.6060 0.8940 0.1060
0.6782 0.3218 0.8218
0.7132 0.7132 0.7132
0.7868 0.2868 0.2132
0.8218 0.6782 0.3218
0.8940 0.1060 0.6060
0.0070 0.8009 0.5941
0.0941 0.4930 0.1991
0.1991 0.0941 0.4930
0.3009 0.9059 0.9930
0.4059 0.5070 0.6991
0.4930 0.1991 0.0941
0.5070 0.6991 0.4059
0.5941 0.0070 0.8009
0.6991 0.4059 0.5070
0.8009 0.5941 0.0070
0.9059 0.9930 0.3009
0.9930 0.3009 0.9059
```

Properties
**ΔH_f (0 K)**: -0.704 eV/atom
**Size of the total moment**: 0.000 μB per atom
**Calculated total energy**: -254.49 eV per cell

2.
Computed, not measured: a relaxed YZrIr2 crystal at the PBE level of DFT.

Structure (POSCAR):
```
YZrIr2
1.0
1.9705 1.1377 7.2793
-1.9705 1.1377 7.2793
0.0000 -2.2753 7.2793
Y Zr Ir
1 1 2
direct
0.0000 0.0000 0.0000
0.8118 0.8118 0.8118
0.2625 0.2625 0.2625
0.5387 0.5387 0.5387
```

Properties
**ΔH_f (0 K)**: -0.094 eV/atom
**Size of the total moment**: 0.000 μB per atom
**Calculated total energy**: -33.11 eV per cell